La3Pm12Tl: relaxed, PBE.

- formation energy (kcal/mol of atoms) = -0.56

Cell lengths 5.1058, 5.1058, 20.8331 Å; angles 90.00, 90.00, 90.00 degrees
Space group P4/mmm (No. 123)
Inequivalent atoms, fractional coordinates:
1 La 0.0000 0.0000 0.0000 x1
2 La 0.0000 0.0000 0.2523 x2
3 Pm 0.0000 0.5000 0.1267 x4
4 Pm 0.0000 0.5000 0.3807 x4
5 Pm 0.5000 0.5000 0.0000 x1
6 Pm 0.5000 0.5000 0.2564 x2
7 Pm 0.5000 0.5000 0.5000 x1
8 Tl 0.0000 0.0000 0.5000 x1


PmNdTl3: relaxed, PBE.

- formation energy (kcal/mol of atoms) = 0.45

Cell lengths 12.9636, 10.0621, 10.8494 Å; angles 90.00, 90.00, 90.00 degrees
Space group Cmcm (No. 63)
Inequivalent atoms, fractional coordinates:
1 Pm 0.2500 0.2500 0.0000 x8
2 Nd 0.0000 0.0099 0.2500 x4
3 Nd 0.0000 0.3851 0.7500 x4
4 Tl 0.0000 0.1827 0.5061 x8
5 Tl 0.1156 0.5000 0.0000 x8
6 Tl 0.1300 0.3084 0.2500 x8


TaZnRh2N: relaxed, PBE.

- E_form (uncorrected) (kJ/mol of formula units) = -77

Cell lengths 4.1320, 4.1320, 4.0962 Å; angles 90.00, 90.00, 90.00 degrees
Space group P4/mmm (No. 123)
Inequivalent atoms, fractional coordinates:
1 Ta 0.0000 0.0000 0.0000 x1
2 Zn 0.5000 0.5000 0.0000 x1
3 Rh 0.0000 0.5000 0.5000 x2
4 N 0.0000 0.0000 0.5000 x1


MgPtAu: relaxed, PBE.

- formation energy (kcal/mol of atoms) = -9.54
- energy above the most stable polymorph in this dataset (meV per atom) = 147.0

Cell lengths 4.3592, 3.0581, 4.5445 Å; angles 90.00, 91.01, 90.00 degrees
Space group P2/m (No. 10)
Inequivalent atoms, fractional coordinates:
1 Mg 0.0000 0.0000 0.0000 x1
2 Pt 0.5000 0.5000 0.0000 x1
3 Au 0.5000 0.0000 0.5000 x1


TiNiOs: relaxed, PBE.

- formation energy (kcal/mol of atoms) = -10.01
- energy above the most stable polymorph in this dataset (meV per atom) = 0.0

Cell lengths 4.2224, 4.2224, 5.2278 Å; angles 90.00, 90.00, 120.00 degrees
Space group P6_3/mmc (No. 194)
Inequivalent atoms, fractional coordinates:
1 Ti 0.3333 0.6667 0.2500 x2
2 Ni 0.3333 0.6667 0.7500 x2
3 Os 0.0000 0.0000 0.0000 x2


Mn2CuBr: relaxed, PBE.

- energy above the most stable polymorph in this dataset (meV per atom) = 243.5
- E_form (uncorrected) (kJ/mol of formula units) = 195

Cell lengths 9.4620, 3.1288, 4.6210 Å; angles 90.00, 94.67, 90.00 degrees
Space group Cm (No. 8)
Inequivalent atoms, fractional coordinates:
1 Mn 0.0000 0.0000 0.0000 x2
2 Mn 0.2182 0.5000 0.2886 x2
3 Cu 0.2533 0.0000 0.8493 x2
4 Br 0.4506 0.0000 0.4908 x2


We obtain magnetic moment values of 0.00, 0.00, 0.00, 0.00, 0.00, 8.00 μB/f.u. for the records listed above, in that order.